1.
# Tl2FeSe2

A relaxed Tl2FeSe2 crystal (GGA-PBE, Alexandria via LeMat-Bulk). Values from VASP.

```
&SYSTEM
  ibrav = 0, nat = 5, ntyp = 3
/
ATOMIC_SPECIES
Tl 204.38 Tl.upf
Se 78.96 Se.upf
Fe 55.84 Fe.upf
CELL_PARAMETERS angstrom
-0.853 -3.279 -2.460
3.090 -2.165 1.815
-6.070 0.064 5.580
ATOMIC_POSITIONS crystal
Tl 0.250 0.750 0.500
Tl 0.750 0.250 0.500
Se 0.417 0.417 0.835
Se 0.583 0.583 0.165
Fe 0.000 0.000 0.000
```

Computed properties:
mass density	7.664	g/cm³
density of states at the Fermi level	5.7	states/eV per cell
size of the total moment	0.74	μB per atom
electronic total energy	-3.5104	eV/atom
V	134.9	Å³/cell
formation energy from raw total energies	522	meV per atom

2.
# K2PuSnS4

A relaxed K2PuSnS4 crystal (GGA-PBE, Alexandria via LeMat-Bulk). Values from VASP.

```
&SYSTEM
  ibrav = 0, nat = 8, ntyp = 4
/
ATOMIC_SPECIES
S 32.06 S.upf
K 39.10 K.upf
Pu 244.00 Pu.upf
Sn 118.71 Sn.upf
CELL_PARAMETERS angstrom
-0.281 1.341 -3.895
-2.377 -6.882 -2.198
-7.252 -0.110 0.486
ATOMIC_POSITIONS crystal
S 0.000 0.299 0.253
S 0.500 0.698 0.279
S 0.500 0.302 0.721
S 0.000 0.701 0.747
K 0.000 0.000 0.000
K 0.500 0.000 0.500
Pu 0.000 0.500 0.500
Sn 0.500 0.500 0.000
```

Computed properties:
mass density	4.349	g/cm³
density of states at the Fermi level	10.1	states/eV per cell
size of the total moment	0.50	μB per atom
electronic total energy	-5.8054	eV/atom
V	217.3	Å³/cell
formation energy from raw total energies	-1175	meV per atom

3.
# NaMgZn17

A relaxed NaMgZn17 crystal (GGA-PBE, Alexandria via LeMat-Bulk). Values from VASP.

```
&SYSTEM
  ibrav = 0, nat = 19, ntyp = 3
/
ATOMIC_SPECIES
Zn 65.41 Zn.upf
Na 22.99 Na.upf
Mg 24.30 Mg.upf
CELL_PARAMETERS angstrom
-1.937 -4.020 5.145
5.812 0.294 3.539
-1.867 4.952 4.287
ATOMIC_POSITIONS crystal
Zn 0.647 0.166 0.647
Zn 0.106 0.106 0.106
Zn 0.994 0.504 0.994
Zn 0.504 0.994 0.994
Zn 0.849 0.348 0.348
Zn 0.348 0.849 0.348
Zn 0.348 0.348 0.849
Zn 0.002 0.302 0.694
Zn 0.302 0.694 0.002
Zn 0.302 0.002 0.694
Zn 0.694 0.302 0.002
Zn 0.694 0.002 0.302
Zn 0.901 0.901 0.901
Zn 0.994 0.994 0.504
Zn 0.002 0.694 0.302
Zn 0.166 0.647 0.647
Zn 0.647 0.647 0.166
Na 0.659 0.659 0.659
Mg 0.339 0.339 0.339
```

Computed properties:
mass density	6.227	g/cm³
density of states at the Fermi level	4.2	states/eV per cell
size of the total moment	0.00	μB per atom
electronic total energy	-1.3123	eV/atom
V	309.1	Å³/cell
ΔH_f (0 K)	-19	meV/atom

4.
# Sr2P4Ir3

A relaxed Sr2P4Ir3 crystal (GGA-PBE, Alexandria via LeMat-Bulk). Values from VASP.

```
&SYSTEM
  ibrav = 0, nat = 9, ntyp = 3
/
ATOMIC_SPECIES
P 30.97 P.upf
Ir 192.22 Ir.upf
Sr 87.62 Sr.upf
CELL_PARAMETERS angstrom
5.732 -0.127 0.000
-2.776 5.016 0.000
-1.478 -2.445 6.439
ATOMIC_POSITIONS crystal
P 0.297 0.972 0.270
P 0.703 0.028 0.730
P 0.028 0.703 0.730
P 0.972 0.297 0.270
Ir 0.000 0.000 0.000
Ir 0.000 0.500 0.000
Ir 0.500 0.000 0.000
Sr 0.644 0.644 0.288
Sr 0.356 0.356 0.712
```

Computed properties:
mass density	7.952	g/cm³
density of states at the Fermi level	5.1	states/eV per cell
size of the total moment	0.00	μB per atom
electronic total energy	-6.4205	eV/atom
V	182.9	Å³/cell
ΔH_f (0 K)	-689	meV/atom